Nd5Mg2 (PBE, relaxed); DFT total energy = -26.75 eV/f.u.; density = 5.59 Mg/m³; SG = Cccm
1.0
4.095 -7.848 0.000
4.095 7.848 0.000
0.000 0.000 7.119
Nd Mg
10 4
direct
0.000 0.000 0.250
0.000 0.000 0.750
0.227 0.415 0.000
0.233 0.767 0.250
0.233 0.767 0.750
0.415 0.227 0.500
0.585 0.773 0.500
0.767 0.233 0.250
0.767 0.233 0.750
0.773 0.585 0.000
0.151 0.394 0.500
0.394 0.151 0.000
0.606 0.849 0.000
0.849 0.606 0.500

***

NdMg6 (PBE, relaxed); DFT total energy = -9.74 eV/f.u.; density = 2.11 Mg/m³; SG = Im-3m
1.0
-3.849 3.849 3.849
3.849 -3.849 3.849
3.849 3.849 -3.849
Nd Mg
1 6
direct
0.000 0.000 0.000
0.250 0.500 0.750
0.250 0.750 0.500
0.500 0.250 0.750
0.500 0.750 0.250
0.750 0.250 0.500
0.750 0.500 0.250

***

Nd5Mg (PBE, relaxed); DFT total energy = -25.33 eV/f.u.; density = 6.14 Mg/m³; SG = Amm2
1.0
5.870 0.000 0.000
0.000 1.866 9.195
0.000 -1.866 9.195
Nd Mg
5 1
direct
0.000 0.000 0.000
0.000 0.324 0.324
0.500 0.201 0.201
0.500 0.542 0.542
0.500 0.869 0.869
0.000 0.660 0.660

***

Nd4Mg (PBE, relaxed); DFT total energy = -18.06 eV/f.u.; density = 5.14 Mg/m³; SG = Pm-3m
1.0
5.792 0.000 0.000
0.000 5.792 0.000
0.000 0.000 5.792
Nd Mg
4 1
direct
0.000 0.000 0.000
0.000 0.500 0.500
0.500 0.000 0.500
0.500 0.500 0.000
0.500 0.500 0.500

***

Nd2Mg5 (PBE, relaxed); DFT total energy = -17.73 eV/f.u.; density = 3.56 Mg/m³; SG = Ibam
1.0
-3.751 7.201 3.543
3.751 -7.201 3.543
3.751 7.201 -3.543
Nd Mg
4 10
direct
0.107 0.198 0.305
0.393 0.698 0.091
0.607 0.302 0.909
0.893 0.802 0.695
0.016 0.750 0.266
0.128 0.753 0.881
0.250 0.750 0.500
0.372 0.253 0.624
0.484 0.750 0.734
0.516 0.250 0.266
0.628 0.747 0.376
0.750 0.250 0.500
0.872 0.247 0.119
0.984 0.250 0.734

***

Nd4Mg (PBE, relaxed); DFT total energy = -17.76 eV/f.u.; density = 5.23 Mg/m³; SG = Fd-3m
1.0
0.000 5.760 5.760
5.760 0.000 5.760
5.760 5.760 0.000
Nd Mg
8 2
direct
0.187 0.771 0.771
0.229 0.229 0.229
0.229 0.229 0.813
0.229 0.813 0.229
0.771 0.187 0.771
0.771 0.771 0.187
0.771 0.771 0.771
0.813 0.229 0.229
0.375 0.375 0.375
0.625 0.625 0.625

***

Number 1: DFT formation energy 0.040 eV per atom. Number 2: DFT formation energy 0.656 eV per atom. Number 3: DFT formation energy 0.018 eV per atom. Number 4: DFT formation energy 0.522 eV per atom. Number 5: DFT formation energy -0.032 eV per atom. Number 6: DFT formation energy 0.581 eV per atom.